Entry 1:
Computed, not measured: a relaxed HfMoHS2 crystal at the GGA-PBE level of DFT.

abc: 4.6785 4.6785 3.3707
angles: 90.00 90.00 90.00
Last column: nearest neighbours and their distance in Å.
Space group P4/mmm (No. 123)
Symmetry-distinct sites (fractional):
Hf: 0.0000 0.0000 0.0000 (multiplicity 1)  8 S 2.88
Mo: 0.5000 0.5000 0.5000 (multiplicity 1)  2 H 1.69
H: 0.5000 0.5000 0.0000 (multiplicity 1)  2 Mo 1.69
S: 0.0000 0.5000 0.5000 (multiplicity 2)  2 Mo 2.34

Properties
final energy	-0.2469	hartree per atom
density	7.64	Mg/m³

---

Entry 2:
Computed, not measured: a relaxed Zr2AgPb crystal at the GGA-PBE level of DFT.

abc: 3.2961 3.2961 30.5560
angles: 90.00 90.00 120.00
Last column: nearest neighbours and their distance in Å.
Space group R3m (No. 160, hexagonal axes)
Symmetry-distinct sites (fractional):
Zr: 0.0000 0.0000 0.0000 (multiplicity 3)  3 Ag 3.01, 9 Zr 3.09-3.30
Zr: 0.0000 0.0000 0.2537 (multiplicity 3)  9 Zr 3.09-3.30, 3 Pb 3.37
Ag: 0.0000 0.0000 0.7431 (multiplicity 3)  3 Zr 3.01, 3 Pb 3.25, 6 Ag 3.30
Pb: 0.0000 0.0000 0.4958 (multiplicity 3)  3 Ag 3.25, 6 Pb 3.30, 3 Zr 3.37

Properties
final energy	-0.2156	hartree per atom
DFT formation energy	0.0459	eV/atom
density	8.62	Mg/m³

---

Entry 3:
Computed, not measured: a relaxed Ho2TlBi crystal at the GGA-PBE level of DFT.

abc: 4.2073 4.2073 24.1562
angles: 90.00 90.00 120.00
Last column: nearest neighbours and their distance in Å.
Space group R-3m (No. 166, hexagonal axes)
Symmetry-distinct sites (fractional):
Ho: 0.0000 0.0000 0.2459 (multiplicity 6)  3 Bi 3.09, 3 Tl 3.22
Tl: 0.0000 0.0000 0.0000 (multiplicity 3)  6 Ho 3.22
Bi: 0.0000 0.0000 0.5000 (multiplicity 3)  6 Ho 3.09

Properties
final energy	-0.1586	hartree per atom
DFT formation energy	-0.4647	eV/atom
density	10.00	Mg/m³
offset from the most stable computed form	0.000	eV per formula unit

---

Entry 4:
Computed, not measured: a relaxed NaCaAlAg crystal at the GGA-PBE level of DFT.

abc: 7.1105 7.1105 7.1105
angles: 90.00 90.00 90.00
Last column: nearest neighbours and their distance in Å.
Space group F-43m (No. 216)
Symmetry-distinct sites (fractional):
Na: 0.0000 0.0000 0.0000 (multiplicity 4)  4 Al 3.08, 4 Ca 3.08
Ca: 0.2500 0.2500 0.7500 (multiplicity 4)  4 Na 3.08, 4 Ag 3.08
Al: 0.2500 0.2500 0.2500 (multiplicity 4)  4 Na 3.08, 4 Ag 3.08
Ag: 0.0000 0.0000 0.5000 (multiplicity 4)  4 Ca 3.08, 4 Al 3.08

Properties
final energy	-0.0934	hartree per atom
DFT formation energy	-0.0643	eV/atom
density	3.66	Mg/m³